# 1
Here is crystalline Tb12Y2Er5 at its relaxed geometry from Alexandria via LeMat-Bulk. Energies are from PBE.

Output
The value obtained for the uncorrected energy is -90.1 eV/f.u. The space group is P-1 (2). Its energy of formation is 64 meV per atom. Its density of states at the Fermi level is 1.71 states/eV per atom. For the calculated volume, the calculation gives 31.97 Å³ per atom.

The structure in POSCAR format:
```
Tb12Y2Er5
1.0
-0.015 -2.856 -6.131
5.794 -3.475 6.800
-10.409 -2.539 5.642
Tb Er Y
12 5 2
direct
0.900 0.418 0.125
0.100 0.582 0.875
0.259 0.800 0.649
0.300 0.358 0.034
0.177 0.859 0.295
0.167 0.202 0.264
0.700 0.642 0.966
0.833 0.798 0.736
0.627 0.378 0.572
0.373 0.622 0.428
0.741 0.200 0.351
0.823 0.141 0.705
0.767 0.557 0.353
0.233 0.443 0.647
0.000 0.000 0.500
0.442 0.214 0.811
0.558 0.786 0.189
0.286 0.003 0.046
0.714 0.997 0.954
```

=====

# 2
Here is crystalline SiRh2Cl at its relaxed geometry from Alexandria via LeMat-Bulk. Energies are from PBE.

Output
The value obtained for the uncorrected energy is -21.2 eV/f.u. The space group is C2/m (12). For the formation energy from raw total energies, the calculation gives 0.20 eV/atom. Its density of states at the Fermi level is 0.76 states/eV per atom. For the calculated volume, the calculation gives 15.12 Å³ per atom.

The structure in POSCAR format:
```
SiRh2Cl
1.0
4.986 -0.003 0.005
-1.506 4.753 0.005
0.896 1.223 2.555
Rh Si Cl
2 1 1
direct
0.500 0.500 0.000
0.000 0.000 0.000
0.500 0.000 0.500
0.000 0.500 0.500
```

=====

# 3
Here is crystalline AlPSe at its relaxed geometry from Alexandria via LeMat-Bulk. Energies are from PBE.

Output
The value obtained for the uncorrected energy is -13.9 eV/f.u. The space group is P1 (1). For the formation energy from raw total energies, the calculation gives -0.41 eV/atom. For the calculated volume, the calculation gives 21.61 Å³ per atom.

The structure in POSCAR format:
```
AlPSe
1.0
4.003 0.001 0.000
1.987 5.180 0.000
0.151 0.000 6.254
P Se Al
2 2 2
direct
0.738 0.703 0.259
0.279 0.619 0.760
0.298 0.286 0.991
0.426 0.036 0.491
0.666 0.840 0.874
0.344 0.483 0.373
```

=====

# 4
Here is crystalline SmEr2N3 at its relaxed geometry from Alexandria via LeMat-Bulk. Energies are from PBE.

Output
The value obtained for the uncorrected energy is -48.8 eV/f.u. The space group is C2/m (12). For the formation energy from raw total energies, the calculation gives -1.67 eV/atom. Its density of states at the Fermi level is 0.01 states/eV per atom. For the calculated volume, the calculation gives 14.94 Å³ per atom.

The structure in POSCAR format:
```
SmEr2N3
1.0
5.950 -0.020 -0.994
-3.208 5.012 -0.994
-0.011 -0.019 6.032
Er Sm N
4 2 6
direct
0.168 0.832 0.500
0.833 0.167 0.500
0.333 0.667 0.000
0.499 0.501 0.500
0.666 0.334 0.000
0.000 0.000 0.000
0.921 0.581 0.744
0.092 0.425 0.256
0.419 0.079 0.256
0.248 0.254 0.744
0.575 0.908 0.744
0.746 0.752 0.256
```